MnGaH2O: relaxed, PBE+U.

Cell: 3.099 3.099 6.404 Å, 90.00 90.00 120.00°
Sites, in units of the cell vectors:
Mn (0.000, 0.000, 0.000)
Ga (0.667, 0.333, 0.395)
H (0.333, 0.667, 0.125)
H (0.667, 0.333, 0.874)
O (0.000, 0.000, 0.515)

Computed properties:
Its density of states at the Fermi level is 0.4 states/eV per cell. Its space-group type is P3m1, No. 156. The energy above the most stable polymorph in this dataset is 114 meV per atom.

MnGaH2O: relaxed, PBE+U.

Cell: 4.884 4.884 5.429 Å, 118.24 118.24 35.83°
Sites, in units of the cell vectors:
Mn (0.000, 0.000, 0.000)
Ga (0.384, 0.384, 0.311)
H (0.240, 0.240, 0.605)
H (0.648, 0.648, 0.147)
O (0.360, 0.360, 0.670)

Computed properties:
Its density of states at the Fermi level is 1.0 states/eV per cell. Its space-group type is Cm, No. 8. The energy above the most stable polymorph in this dataset is 92 meV per atom.